[1]
Entry from Alexandria via LeMat-Bulk: crystalline Nd3Sm4Au4 at its relaxed geometry (PBE).

Geometry as CIF:
```
data_Nd3Sm4Au4
_cell_length_a 4.966
_cell_length_b 7.780
_cell_length_c 16.177
_cell_angle_alpha 90.00
_cell_angle_beta 90.00
_cell_angle_gamma 90.00
_space_group_name_H-M_alt 'I m m m'
_space_group_IT_number 71
_space_group_name_Hall '-I 2 2'
loop_
_atom_site_label
_atom_site_type_symbol
_atom_site_fract_x
_atom_site_fract_y
_atom_site_fract_z
Nd1 Nd 0.000 0.000 0.000
Nd2 Nd 0.000 0.500 0.101
Sm1 Sm 0.000 0.282 0.328
Au1 Au 0.000 0.000 0.202
Au2 Au 0.000 0.188 0.500
```

- Total magnetization: 0.00 Bohr magnetons per cell
- VASP energy: -4.735 eV/atom
- Density: 9.68 g cm⁻³
- Energy relative to the elements: -0.5270 eV/atom

---

[2]
Entry from Alexandria via LeMat-Bulk: crystalline Nd2SmAu at its relaxed geometry (PBE).

Geometry as CIF:
```
data_Nd2SmAu
_cell_length_a 3.8227
_cell_length_b 3.8227
_cell_length_c 30.4671
_cell_angle_alpha 90.00
_cell_angle_beta 90.00
_cell_angle_gamma 120.00
_space_group_name_H-M_alt 'R 3 m'
_space_group_IT_number 160
_space_group_name_Hall 'R 3 -2"'
loop_
_atom_site_label
_atom_site_type_symbol
_atom_site_fract_x
_atom_site_fract_y
_atom_site_fract_z
Nd1 Nd 0.0000 0.0000 0.0000
Nd2 Nd 0.0000 0.0000 0.1926
Sm1 Sm 0.0000 0.0000 0.4292
Au1 Au 0.0000 0.0000 0.5963
```

- Total magnetization: 0.00 Bohr magnetons per cell
- VASP energy: -4.623 eV/atom
- Density: 8.21 g cm⁻³
- Energy above the lowest structure with this stoichiometry: 0.1534 eV per atom
- Energy relative to the elements: -0.2395 eV/atom

---

[3]
Entry from Alexandria via LeMat-Bulk: crystalline NdSmSnAu at its relaxed geometry (PBE).

Geometry as CIF:
```
data_NdSmSnAu
_cell_length_a 7.575
_cell_length_b 7.575
_cell_length_c 7.575
_cell_angle_alpha 90.00
_cell_angle_beta 90.00
_cell_angle_gamma 90.00
_space_group_name_H-M_alt 'F -4 3 m'
_space_group_IT_number 216
_space_group_name_Hall 'F -4 2 3'
loop_
_atom_site_label
_atom_site_type_symbol
_atom_site_fract_x
_atom_site_fract_y
_atom_site_fract_z
Nd1 Nd 0.000 0.000 0.000
Sm1 Sm 0.000 0.000 0.500
Sn1 Sn 0.250 0.250 0.250
Au1 Au 0.250 0.250 0.750
```

- Total magnetization: 3.19 Bohr magnetons per cell
- VASP energy: -4.907 eV/atom
- Density: 9.33 g cm⁻³
- Energy relative to the elements: -0.7147 eV/atom

---

[4]
Entry from Alexandria via LeMat-Bulk: crystalline NdSmTeAu at its relaxed geometry (PBE).

Geometry as CIF:
```
data_NdSmTeAu
_cell_length_a 4.2795
_cell_length_b 4.2795
_cell_length_c 22.8510
_cell_angle_alpha 90.00
_cell_angle_beta 90.00
_cell_angle_gamma 120.00
_space_group_name_H-M_alt 'R 3 m'
_space_group_IT_number 160
_space_group_name_Hall 'R 3 -2"'
loop_
_atom_site_label
_atom_site_type_symbol
_atom_site_fract_x
_atom_site_fract_y
_atom_site_fract_z
Nd1 Nd 0.0000 0.0000 0.0000
Sm1 Sm 0.0000 0.0000 0.5112
Te1 Te 0.0000 0.0000 0.7567
Au1 Au 0.0000 0.0000 0.2543
```

- Total magnetization: 0.00 Bohr magnetons per cell
- VASP energy: -5.034 eV/atom
- Density: 8.51 g cm⁻³
- Formation energy from raw total energies: -1057 meV per atom

---

[5]
Entry from Alexandria via LeMat-Bulk: crystalline NdSmZnAu at its relaxed geometry (PBE).

Geometry as CIF:
```
data_NdSmZnAu
_cell_length_a 3.713
_cell_length_b 3.713
_cell_length_c 7.210
_cell_angle_alpha 90.00
_cell_angle_beta 90.00
_cell_angle_gamma 90.00
_space_group_name_H-M_alt 'P 4 m m'
_space_group_IT_number 99
loop_
_space_group_symop_operation_xyz
'x,y,z'
'-y,x,z'
'-x,-y,z'
'y,-x,z'
'-x,y,z'
'y,x,z'
'x,-y,z'
'-y,-x,z'
loop_
_atom_site_label
_atom_site_type_symbol
_atom_site_fract_x
_atom_site_fract_y
_atom_site_fract_z
Nd1 Nd 0.000 0.000 0.000
Sm1 Sm 0.000 0.000 0.505
Zn1 Zn 0.500 0.500 0.748
Au1 Au 0.500 0.500 0.262
```

- Total magnetization: 0.00 Bohr magnetons per cell
- VASP energy: -4.060 eV/atom
- Density: 9.31 g cm⁻³
- Energy above the lowest structure with this stoichiometry: 0.0000 eV per atom
- Energy relative to the elements: -0.5504 eV/atom

---

[6]
Entry from Alexandria via LeMat-Bulk: crystalline NdSmZnAu at its relaxed geometry (PBE).

Geometry as CIF:
```
data_NdSmZnAu
_cell_length_a 7.373
_cell_length_b 7.373
_cell_length_c 7.373
_cell_angle_alpha 90.00
_cell_angle_beta 90.00
_cell_angle_gamma 90.00
_space_group_name_H-M_alt 'F -4 3 m'
_space_group_IT_number 216
_space_group_name_Hall 'F -4 2 3'
loop_
_atom_site_label
_atom_site_type_symbol
_atom_site_fract_x
_atom_site_fract_y
_atom_site_fract_z
Nd1 Nd 0.000 0.000 0.000
Sm1 Sm 0.000 0.000 0.500
Zn1 Zn 0.250 0.250 0.750
Au1 Au 0.250 0.250 0.250
```

- Total magnetization: 0.00 Bohr magnetons per cell
- VASP energy: -4.040 eV/atom
- Density: 9.23 g cm⁻³
- Energy above the lowest structure with this stoichiometry: 0.0201 eV per atom
- Energy relative to the elements: -0.5303 eV/atom

---

[7]
Entry from Alexandria via LeMat-Bulk: crystalline Nd2Sn3Au at its relaxed geometry (PBE).

Geometry as CIF:
```
data_Nd2Sn3Au
_cell_length_a 4.165
_cell_length_b 4.856
_cell_length_c 8.094
_cell_angle_alpha 90.00
_cell_angle_beta 90.00
_cell_angle_gamma 90.00
_space_group_name_H-M_alt 'P m m 2'
_space_group_IT_number 25
loop_
_space_group_symop_operation_xyz
'x,y,z'
'-x,-y,z'
'-x,y,z'
'x,-y,z'
loop_
_atom_site_label
_atom_site_type_symbol
_atom_site_fract_x
_atom_site_fract_y
_atom_site_fract_z
Nd1 Nd 0.000 0.000 0.000
Nd2 Nd 0.000 0.500 0.492
Sn1 Sn 0.500 0.000 0.329
Sn2 Sn 0.500 0.000 0.677
Sn3 Sn 0.500 0.500 0.148
Au1 Au 0.500 0.500 0.818
```

- Total magnetization: 0.00 Bohr magnetons per cell
- VASP energy: -4.730 eV/atom
- Density: 8.54 g cm⁻³
- Energy relative to the elements: -0.5934 eV/atom

---

[8]
Entry from Alexandria via LeMat-Bulk: crystalline Nd3Sn3Au8 at its relaxed geometry (PBE).

Geometry as CIF:
```
data_Nd3Sn3Au8
_cell_length_a 4.655
_cell_length_b 10.034
_cell_length_c 13.867
_cell_angle_alpha 90.00
_cell_angle_beta 90.00
_cell_angle_gamma 90.00
_space_group_name_H-M_alt 'I m m m'
_space_group_IT_number 71
_space_group_name_Hall '-I 2 2'
loop_
_atom_site_label
_atom_site_type_symbol
_atom_site_fract_x
_atom_site_fract_y
_atom_site_fract_z
Nd1 Nd 0.000 0.000 0.000
Nd2 Nd 0.000 0.000 0.297
Sn1 Sn 0.000 0.219 0.500
Sn2 Sn 0.000 0.500 0.000
Au1 Au 0.000 0.285 0.137
Au2 Au 0.000 0.366 0.333
```

- Total magnetization: 0.00 Bohr magnetons per cell
- VASP energy: -4.297 eV/atom
- Density: 12.13 g cm⁻³
- Energy relative to the elements: -0.5449 eV/atom

---

[9]
Entry from Alexandria via LeMat-Bulk: crystalline NdSnAu at its relaxed geometry (PBE).

Geometry as CIF:
```
data_NdSnAu
_cell_length_a 3.382
_cell_length_b 3.382
_cell_length_c 15.646
_cell_angle_alpha 90.00
_cell_angle_beta 90.00
_cell_angle_gamma 90.00
_space_group_name_H-M_alt 'I 4 m m'
_space_group_IT_number 107
_space_group_name_Hall 'I 4 -2'
loop_
_atom_site_label
_atom_site_type_symbol
_atom_site_fract_x
_atom_site_fract_y
_atom_site_fract_z
Nd1 Nd 0.000 0.000 0.000
Sn1 Sn 0.000 0.000 0.638
Au1 Au 0.000 0.000 0.814
```

- Total magnetization: 0.00 Bohr magnetons per cell
- VASP energy: -3.991 eV/atom
- Density: 8.53 g cm⁻³
- Energy relative to the elements: 0.0252 eV/atom

---

[10]
Entry from Alexandria via LeMat-Bulk: crystalline NdSn3Au3 at its relaxed geometry (PBE).

Geometry as CIF:
```
data_NdSn3Au3
_cell_length_a 7.509
_cell_length_b 7.509
_cell_length_c 7.509
_cell_angle_alpha 90.00
_cell_angle_beta 90.00
_cell_angle_gamma 90.00
_space_group_name_H-M_alt 'P m -3 n'
_space_group_IT_number 223
_space_group_name_Hall '-P 4n 2 3'
loop_
_atom_site_label
_atom_site_type_symbol
_atom_site_fract_x
_atom_site_fract_y
_atom_site_fract_z
Nd1 Nd 0.000 0.000 0.000
Sn1 Sn 0.000 0.250 0.500
Au1 Au 0.000 0.500 0.250
```

- Total magnetization: 0.00 Bohr magnetons per cell
- VASP energy: -3.808 eV/atom
- Density: 8.56 g cm⁻³
- Energy above the lowest structure with this stoichiometry: 0.3648 eV per atom
- Energy relative to the elements: -0.0066 eV/atom

---

[11]
Entry from Alexandria via LeMat-Bulk: crystalline NdSnAu5 at its relaxed geometry (PBE).

Geometry as CIF:
```
data_NdSnAu5
_cell_length_a 9.197
_cell_length_b 5.727
_cell_length_c 11.305
_cell_angle_alpha 90.00
_cell_angle_beta 90.00
_cell_angle_gamma 90.00
_space_group_name_H-M_alt 'P n m a'
_space_group_IT_number 62
loop_
_space_group_symop_operation_xyz
'x,y,z'
'-x,-y,-z'
'-x+1/2,-y,z+1/2'
'x+1/2,y,-z+1/2'
'x+1/2,-y+1/2,-z+1/2'
'-x+1/2,y+1/2,z+1/2'
'-x,y+1/2,-z'
'x,-y+1/2,z'
loop_
_atom_site_label
_atom_site_type_symbol
_atom_site_fract_x
_atom_site_fract_y
_atom_site_fract_z
Nd1 Nd 0.246 0.250 0.056
Sn1 Sn 0.151 0.250 0.345
Au1 Au 0.068 0.508 0.799
Au2 Au 0.076 0.250 0.573
Au3 Au 0.092 0.750 0.022
Au4 Au 0.176 0.750 0.277
```

- Total magnetization: 0.00 Bohr magnetons per cell
- VASP energy: -4.004 eV/atom
- Density: 13.92 g cm⁻³
- Energy relative to the elements: -0.4100 eV/atom